Mg3AgGe: optimized geometry, GGA-PBE.

a b c (Å): 5.029 5.029 5.029
angles (deg): 90.00 90.00 90.00
Fractional positions:
1 Ge 0.000 0.000 0.000
2 Mg 0.000 0.500 0.000
3 Mg 0.000 0.000 0.500
4 Mg 0.500 0.000 0.000
5 Ag 0.500 0.500 0.500

Magnetic moment, μB per formula unit: 0.000
Offset from the most stable computed form, meV per atom: 0
ΔH_f (0 K), eV per atom: 0.179